(1)
VASP calculation (PBE) on a geometry-optimized Sc2CuPb structure.

Output
SG: No. 12
DOS at the Fermi energy: 2.99 states/eV per cell
formation enthalpy at 0 K: -0.514 eV per formula unit

```
Sc2CuPb
1.0
-0.026 -1.603 -4.346
-2.739 -2.745 -2.534
-3.694 4.138 -2.923
Cu Pb Sc
1 1 2
Cartesian
-4.845 -0.158 -7.352
-1.615 -0.053 -2.451
-3.590 3.926 -2.901
-3.333 0.107 -4.923
```

(2)
VASP calculation (PBE) on a geometry-optimized BaTe3 structure.

Output
SG: No. 225
DOS at the Fermi energy: 6.73 states/eV per cell
E_form (uncorrected): -0.455 eV per atom

```
BaTe3
1.0
5.811 0.000 0.000
2.905 5.032 0.000
2.905 1.677 4.744
Ba Te
1 3
Cartesian
0.000 0.000 0.000
2.905 1.677 1.186
5.811 3.355 2.372
8.716 5.032 3.558
```

(3)
VASP calculation (PBE) on a geometry-optimized AcPuGeCl structure.

Output
SG: No. 216
DOS at the Fermi energy: 10.34 states/eV per cell
E_form (uncorrected): -0.851 eV per atom

```
AcPuGeCl
1.0
-1.033 -4.285 -2.945
3.270 -4.170 0.149
-1.552 -4.504 2.326
Ac Cl Ge Pu
1 1 1 1
Cartesian
0.513 -9.719 -0.353
0.000 0.000 0.000
0.342 -6.479 -0.235
0.171 -3.240 -0.118
```

(4)
VASP calculation (PBE) on a geometry-optimized PrSc2Al structure.

Output
excess energy over the best structure of this formula in the dataset: 0.000 eV/f.u.
SG: No. 123
DOS at the Fermi energy: 3.35 states/eV per cell
formation enthalpy at 0 K: -0.799 eV per formula unit

```
PrSc2Al
1.0
3.377 0.000 0.000
0.000 3.377 0.000
0.000 0.000 8.635
Pr Sc Al
1 2 1
Cartesian
1.689 1.689 4.317
0.000 0.000 6.878
0.000 0.000 1.756
1.689 1.689 0.000
```